Pr2MgSi2: relaxed, GGA-PBEsol.

Lattice parameters (Å, degrees): 4.331 7.374 7.374 90.00 90.00 90.00
Fractional coordinates of all 10 atoms:
1 Pr 0.500 0.680 0.180
2 Pr 0.500 0.320 0.820
3 Pr 0.500 0.180 0.320
4 Pr 0.500 0.820 0.680
5 Si 0.000 0.885 0.385
6 Si 0.000 0.615 0.885
7 Si 0.000 0.385 0.115
8 Si 0.000 0.115 0.615
9 Mg 0.000 0.500 0.500
10 Mg 0.000 0.000 0.000

Output
SG	No. 127
calculated density	5.1	g/cm³
E_tot	-5.4146	eV per atom